Below is a relaxed LaInPPt2 crystal, with properties calculated at the GGA-PBE level.

Lattice parameters (Å, degrees): 5.3341 5.5838 5.3341 90.00 90.00 90.00
Last column: nearest neighbours and their distance in Å.
Fractional coordinates of all 5 atoms:
P  0.0000  0.5000  0.0000  2 La 2.79
In  0.5000  0.5000  0.5000  4 P 3.77, 8 Pt 3.86
Pt  0.0000  0.0000  0.5000  2 La 2.67
Pt  0.5000  0.0000  0.0000  2 La 2.67
La  0.0000  0.0000  0.0000  4 Pt 2.67, 2 P 2.79

Properties
- DFT formation energy: 703 meV/atom
- Crystal system: tetragonal
- V: 31.8 Å³/atom
- E: -4.328 eV/atom